Material: Cs3Tl8Bi3
Method: DFT, PBE-GGA
State: relaxed

Cell lengths 5.4908, 10.4708, 10.4708 Å; angles 73.38, 74.80, 74.80 degrees
With the nearest neighbours (Å) after each atom.
Positions (direct):
1 Tl 0.1673 0.4790 0.1864  4 Tl 3.28-3.66, 1 Bi 3.31
2 Tl 0.6290 0.0902 0.6518  3 Tl 3.28-3.36, 3 Bi 3.42-3.44
3 Tl 0.3710 0.9098 0.3482  3 Tl 3.28-3.36, 3 Bi 3.42-3.44
4 Tl 0.1673 0.1864 0.4790  4 Tl 3.28-3.66, 1 Bi 3.31
5 Tl 0.6290 0.6518 0.0902  3 Tl 3.28-3.36, 3 Bi 3.42-3.44
6 Tl 0.3710 0.3482 0.9098  3 Tl 3.28-3.36, 3 Bi 3.42-3.44
7 Tl 0.8327 0.8136 0.5210  4 Tl 3.28-3.66, 1 Bi 3.31
8 Tl 0.8327 0.5210 0.8136  4 Tl 3.28-3.66, 1 Bi 3.31
9 Cs 0.8054 0.1946 0.1946  4 Bi 3.94-4.13, 8 Tl 3.96-4.02
10 Cs 0.1946 0.8054 0.8054  4 Bi 3.94-4.13, 8 Tl 3.96-4.02
11 Cs 0.5000 0.5000 0.5000  12 Tl 4.07-4.24
12 Bi 0.5000 0.0000 0.0000  4 Tl 3.42, 4 Bi 3.68
13 Bi 0.0000 0.8043 0.1957  6 Tl 3.31-3.44, 2 Bi 3.68
14 Bi 0.0000 0.1957 0.8043  6 Tl 3.31-3.44, 2 Bi 3.68

Results
For the energy relative to the elements, the calculation gives -0.11 eV/atom. The density of states at the Fermi level comes out at 9.1 states/eV/f.u. The calculation puts the volume at 38.9 Å³ per atom.

***

Material: La4Cu5
Method: DFT, PBE-GGA
State: relaxed

Cell lengths 7.0629, 7.0629, 7.0629 Å; angles 96.33, 96.33, 141.23 degrees
With the nearest neighbours (Å) after each atom.
Positions (direct):
1 Cu 0.3680 0.3680 0.7361  2 Cu 2.49
2 Cu 0.0000 0.0000 0.0000  4 La 2.83, 8 Cu 2.93
3 Cu 0.6320 0.3680 0.0000  2 Cu 2.49
4 Cu 0.6320 0.6320 0.2639  2 Cu 2.49
5 Cu 0.3680 0.6320 0.0000  2 Cu 2.49
6 La 0.6997 0.0000 0.6997  5 Cu 2.83-3.09
7 La 0.3003 0.0000 0.3003  5 Cu 2.83-3.09
8 La 0.0000 0.3003 0.3003  5 Cu 2.83-3.09
9 La 0.0000 0.6997 0.6997  5 Cu 2.83-3.09

Results
For the energy relative to the elements, the calculation gives -0.01 eV/atom. The density of states at the Fermi level comes out at 8.0 states/eV/f.u. The calculation puts the volume at 23.1 Å³ per atom.

***

Material: Na2TlBi3
Method: DFT, PBE-GGA
State: relaxed

Cell lengths 6.8256, 6.8256, 8.7141 Å; angles 101.04, 101.04, 98.65 degrees
With the nearest neighbours (Å) after each atom.
Positions (direct):
1 Bi 0.6400 0.8312 0.0045  3 Bi 3.21-3.41, 1 Tl 3.24, 3 Na 3.46-3.53
2 Bi 0.1688 0.3600 0.4955  3 Bi 3.21-3.41, 1 Tl 3.24, 3 Na 3.46-3.53
3 Bi 0.3600 0.1688 0.9955  3 Bi 3.21-3.41, 1 Tl 3.24, 3 Na 3.46-3.53
4 Bi 0.8312 0.6400 0.5045  3 Bi 3.21-3.41, 1 Tl 3.24, 3 Na 3.46-3.53
5 Bi 0.4054 0.5946 0.2500  4 Bi 3.23-3.41, 1 Tl 3.36, 4 Na 3.53-3.58
6 Bi 0.5946 0.4054 0.7500  4 Bi 3.23-3.41, 1 Tl 3.36, 4 Na 3.53-3.58
7 Tl 0.9195 0.0805 0.7500  3 Bi 3.24-3.36, 2 Na 3.60
8 Tl 0.0805 0.9195 0.2500  3 Bi 3.24-3.36, 2 Na 3.60
9 Na 0.3745 0.8741 0.6265  6 Bi 3.46-3.67, 2 Na 3.51-3.57, 3 Tl 3.60-3.85
10 Na 0.6255 0.1259 0.3735  6 Bi 3.46-3.67, 2 Na 3.51-3.57, 3 Tl 3.60-3.85
11 Na 0.1259 0.6255 0.8735  6 Bi 3.46-3.67, 2 Na 3.51-3.57, 3 Tl 3.60-3.85
12 Na 0.8741 0.3745 0.1265  6 Bi 3.46-3.67, 2 Na 3.51-3.57, 3 Tl 3.60-3.85

Results
For the energy relative to the elements, the calculation gives -0.17 eV/atom. The density of states at the Fermi level comes out at 1.7 states/eV/f.u. The calculation puts the volume at 32.0 Å³ per atom.

***

Material: ErTmTlOs
Method: DFT, PBE-GGA
State: relaxed

Cell lengths 5.0100, 5.0100, 5.0100 Å; angles 60.00, 60.00, 60.00 degrees
With the nearest neighbours (Å) after each atom.
Positions (direct):
1 Tl 0.7500 0.7500 0.7500  4 Er 3.07, 4 Tm 3.07
2 Os 0.2500 0.2500 0.2500  4 Er 3.07, 4 Tm 3.07
3 Er 0.0000 0.0000 0.0000  4 Tl 3.07, 4 Os 3.07
4 Tm 0.5000 0.5000 0.5000  4 Tl 3.07, 4 Os 3.07

Results
For the energy relative to the elements, the calculation gives -0.18 eV/atom. The density of states at the Fermi level comes out at 3.0 states/eV/f.u. The calculation puts the volume at 22.2 Å³ per atom.

***

Material: LaAlMo2
Method: DFT, PBE-GGA
State: relaxed

Cell lengths 5.7772, 5.7772, 5.7772 Å; angles 146.17, 129.95, 61.78 degrees
With the nearest neighbours (Å) after each atom.
Positions (direct):
1 Mo 0.7805 0.2805 0.5000  2 Mo 2.51
2 Mo 0.9687 0.9687 0.0000  2 Mo 2.51
3 Al 0.5183 0.5183 0.0000  6 Mo 3.01-3.10, 4 La 3.24-3.29, 2 Al 3.36
4 La 0.2326 0.7326 0.5000  6 Mo 3.00-3.11, 4 Al 3.24-3.29, 2 La 3.36

Results
For the energy relative to the elements, the calculation gives 0.31 eV/atom. The density of states at the Fermi level comes out at 2.9 states/eV/f.u. The calculation puts the volume at 20.4 Å³ per atom.

***

Material: InHIO2
Method: DFT, PBE-GGA
State: relaxed

Cell lengths 4.4286, 4.4286, 3.5160 Å; angles 90.00, 90.00, 90.00 degrees
With the nearest neighbours (Å) after each atom.
Positions (direct):
1 In 0.5000 0.5000 0.5000  8 O 2.83, 4 I 3.13
2 H 0.0000 0.0000 0.0000  2 I 1.76
3 O 0.0000 0.5000 0.0000  2 H 2.21
4 O 0.5000 0.0000 0.0000  2 H 2.21
5 I 0.0000 0.0000 0.5000  2 H 1.76

Results
The calculation puts the final energy at -14.74 eV/cell. The density of states at the Fermi level comes out at 3.2 states/eV/f.u. The calculation puts the volume at 13.8 Å³ per atom.

***

Material: ScTaSN2
Method: DFT, PBE-GGA
State: relaxed

Cell lengths 3.9762, 3.9762, 4.8184 Å; angles 90.00, 90.00, 90.00 degrees
With the nearest neighbours (Å) after each atom.
Positions (direct):
1 N 0.0000 0.5000 0.0000  2 Sc 1.99
2 N 0.5000 0.0000 0.0000  2 Sc 1.99
3 S 0.0000 0.0000 0.5000  2 Sc 2.41
4 Sc 0.0000 0.0000 0.0000  4 N 1.99
5 Ta 0.5000 0.5000 0.5000  4 S 2.81, 8 N 3.12

Results
As for the uncorrected formation energy: 0.681 eV/atom. The density of states at the Fermi level comes out at 4.0 states/eV/f.u. The calculation puts the volume at 15.2 Å³ per atom.

***

Material: PtSN2O
Method: DFT, PBE-GGA
State: relaxed

Cell lengths 3.8507, 3.8507, 3.2849 Å; angles 90.00, 90.00, 90.00 degrees
With the nearest neighbours (Å) after each atom.
Positions (direct):
1 S 0.0000 0.0000 0.0000  2 O 1.64
2 O 0.0000 0.0000 0.5000  2 S 1.64
3 Pt 0.5000 0.5000 0.5000  8 N 2.53, 4 O 2.72
4 N 0.0000 0.5000 0.0000  2 S 1.93
5 N 0.5000 0.0000 0.0000  2 S 1.93

Results
As for the uncorrected formation energy: 1.593 eV/atom. The density of states at the Fermi level comes out at 2.1 states/eV/f.u. The calculation puts the volume at 9.7 Å³ per atom.

***

Material: TaAs
Method: DFT, PBE-GGA
State: relaxed

Cell lengths 6.3577, 6.3577, 6.3577 Å; angles 148.36, 148.36, 45.35 degrees
With the nearest neighbours (Å) after each atom.
Positions (direct):
1 As 0.9178 0.4178 0.5000  6 Ta 2.62-2.63
2 As 0.1678 0.1678 0.0000  6 Ta 2.62-2.63
3 Ta 0.4999 0.9999 0.5000  6 As 2.62-2.63
4 Ta 0.7499 0.7499 0.0000  6 As 2.62-2.63

Results
For the energy relative to the elements, the calculation gives -0.55 eV/atom. The density of states at the Fermi level comes out at 0.1 states/eV/f.u. The calculation puts the volume at 17.6 Å³ per atom.

***

Material: BaGaP2O8
Method: DFT, PBE-GGA
State: relaxed

Cell lengths 5.0521, 5.0521, 7.5739 Å; angles 90.00, 90.00, 120.00 degrees
With the nearest neighbours (Å) after each atom.
Positions (direct):
1 P 0.3333 0.6667 0.7188  4 O 1.54-1.55
2 P 0.6667 0.3333 0.2812  4 O 1.54-1.55
3 Ga 0.0000 0.0000 0.5000  6 O 1.97
4 O 0.7469 0.0891 0.3402  1 P 1.54
5 O 0.3333 0.6667 0.9238  1 P 1.55
6 O 0.3422 0.2531 0.3402  1 P 1.54
7 O 0.9109 0.6578 0.3402  1 P 1.54
8 O 0.6667 0.3333 0.0762  1 P 1.55
9 O 0.0891 0.3422 0.6598  1 P 1.54
10 O 0.2531 0.9109 0.6598  1 P 1.54
11 O 0.6578 0.7469 0.6598  1 P 1.54
12 Ba 0.0000 0.0000 0.0000  12 O 2.97-3.01

Results
As for the uncorrected formation energy: -2.248 eV/atom. The density of states at the Fermi level comes out at 7.3 states/eV/f.u. The calculation puts the volume at 14.0 Å³ per atom.

***

Material: Ta3SiHg
Method: DFT, PBE-GGA
State: relaxed

Cell lengths 4.6665, 4.6665, 4.6665 Å; angles 90.00, 90.00, 90.00 degrees
With the nearest neighbours (Å) after each atom.
Positions (direct):
1 Ta 0.0000 0.5000 0.0000  2 Si 2.33
2 Ta 0.5000 0.0000 0.0000  2 Si 2.33
3 Ta 0.0000 0.0000 0.5000  2 Si 2.33
4 Hg 0.5000 0.5000 0.5000  12 Ta 3.30
5 Si 0.0000 0.0000 0.0000  6 Ta 2.33

Results
As for the uncorrected formation energy: 0.805 eV/atom. The density of states at the Fermi level comes out at 10.0 states/eV/f.u. The calculation puts the volume at 20.3 Å³ per atom.

***

Material: Ho4SnPSe2
Method: DFT, PBE-GGA
State: relaxed

Cell lengths 4.1205, 7.1614, 7.1876 Å; angles 70.65, 90.00, 90.00 degrees
With the nearest neighbours (Å) after each atom.
Positions (direct):
1 Ho 0.0000 0.7470 0.7391  1 P 2.85, 3 Se 2.90-3.01, 2 Sn 2.95
2 Ho 0.0000 0.2530 0.2609  1 P 2.85, 3 Se 2.90-3.01, 2 Sn 2.95
3 Ho 0.5000 0.2636 0.7348  2 P 2.84, 3 Se 2.92-3.01, 1 Sn 2.94
4 Ho 0.5000 0.7364 0.2652  2 P 2.84, 3 Se 2.92-3.01, 1 Sn 2.94
5 Sn 0.5000 0.5000 0.0000  6 Ho 2.94-2.95
6 Se 0.5000 0.0000 0.5000  6 Ho 2.90-2.92
7 Se 0.0000 0.0000 0.0000  6 Ho 3.01
8 P 0.0000 0.5000 0.5000  6 Ho 2.84-2.85

Results
As for the uncorrected formation energy: -1.457 eV/atom. The density of states at the Fermi level comes out at 1.9 states/eV/f.u. The calculation puts the volume at 25.0 Å³ per atom.

***

Material: NbZnOs2F
Method: DFT, PBE-GGA
State: relaxed

Cell lengths 4.8744, 3.9422, 4.8744 Å; angles 90.00, 90.00, 90.00 degrees
With the nearest neighbours (Å) after each atom.
Positions (direct):
1 Zn 0.5000 0.5000 0.5000  8 Os 3.13, 4 F 3.45
2 Os 0.0000 0.0000 0.5000  2 Nb 2.44
3 Os 0.5000 0.0000 0.0000  2 Nb 2.44
4 F 0.0000 0.5000 0.0000  2 Nb 1.97
5 Nb 0.0000 0.0000 0.0000  2 F 1.97

Results
As for the uncorrected formation energy: 0.828 eV/atom. The density of states at the Fermi level comes out at 5.0 states/eV/f.u. The calculation puts the volume at 18.7 Å³ per atom.

***

Material: LaSi2P
Method: DFT, PBE-GGA
State: relaxed

Cell lengths 5.5343, 5.5343, 5.5343 Å; angles 133.96, 135.06, 66.30 degrees
With the nearest neighbours (Å) after each atom.
Positions (direct):
1 Si 0.7252 0.2252 0.5000  2 Si 2.43
2 Si 0.0961 0.0961 0.0000  2 P 2.43, 2 Si 2.43
3 La 0.4641 0.4641 0.0000  9 Si 3.06-3.41, 4 P 3.14-3.17
4 P 0.2146 0.7146 0.5000  2 Si 2.43

Results
As for the uncorrected formation energy: -0.363 eV/atom. The density of states at the Fermi level comes out at 1.5 states/eV/f.u. The calculation puts the volume at 21.2 Å³ per atom.

***

Material: LiNd2Ho2
Method: DFT, PBE-GGA
State: relaxed

Cell lengths 4.3734, 4.3734, 9.4401 Å; angles 103.39, 103.39, 90.00 degrees
With the nearest neighbours (Å) after each atom.
Positions (direct):
1 Ho 0.2500 0.7500 0.5000  4 Ho 3.09
2 Ho 0.7500 0.2500 0.5000  4 Ho 3.09
3 Nd 0.5919 0.5919 0.1839  1 Nd 3.28, 4 Li 3.50, 4 Ho 3.57
4 Nd 0.4081 0.4081 0.8161  1 Nd 3.28, 4 Li 3.50, 4 Ho 3.57
5 Li 0.0000 0.0000 0.0000  8 Nd 3.50

Results
For the energy relative to the elements, the calculation gives 0.43 eV/atom. The density of states at the Fermi level comes out at 7.0 states/eV/f.u. The calculation puts the volume at 34.1 Å³ per atom.

***

Material: Si5W4
Method: DFT, PBE-GGA
State: relaxed

Cell lengths 6.5261, 6.5261, 6.5261 Å; angles 93.51, 93.51, 151.33 degrees
With the nearest neighbours (Å) after each atom.
Positions (direct):
1 Si 0.0000 0.0000 0.0000  8 Si 2.71, 4 W 2.81
2 Si 0.6717 0.6717 0.3435  4 Si 2.56-2.71, 4 W 2.57
3 Si 0.6717 0.3283 0.0000  4 Si 2.56-2.71, 4 W 2.57
4 Si 0.3283 0.6717 0.0000  4 Si 2.56-2.71, 4 W 2.57
5 Si 0.3283 0.3283 0.6565  4 Si 2.56-2.71, 4 W 2.57
6 W 0.3143 0.0000 0.3143  5 Si 2.57-2.81, 4 W 2.85
7 W 0.0000 0.3143 0.3143  5 Si 2.57-2.81, 4 W 2.85
8 W 0.0000 0.6857 0.6857  5 Si 2.57-2.81, 4 W 2.85
9 W 0.6857 0.0000 0.6857  5 Si 2.57-2.81, 4 W 2.85

Results
As for the uncorrected formation energy: 0.248 eV/atom. The density of states at the Fermi level comes out at 5.4 states/eV/f.u. The calculation puts the volume at 14.4 Å³ per atom.

***

Material: Tb2Co7
Method: DFT, PBE-GGA
State: relaxed

Cell lengths 4.9727, 4.9727, 12.3920 Å; angles 78.43, 78.43, 60.00 degrees
With the nearest neighbours (Å) after each atom.
Positions (direct):
1 Co 0.6089 0.6089 0.6734  7 Co 2.42-2.54
2 Co 0.3911 0.8912 0.3266  7 Co 2.42-2.54
3 Co 0.6089 0.1088 0.6734  7 Co 2.42-2.54
4 Co 0.8912 0.3911 0.3266  7 Co 2.42-2.54
5 Co 0.6117 0.6117 0.1648  6 Co 2.42-2.45
6 Co 0.3911 0.3911 0.3266  7 Co 2.42-2.54
7 Co 0.2787 0.2787 0.1640  6 Co 2.43-2.44
8 Co 0.5000 0.5000 0.0000  8 Co 2.44-2.49
9 Co 0.5000 0.0000 0.0000  8 Co 2.44-2.49
10 Co 0.0000 0.5000 0.0000  8 Co 2.44-2.49
11 Co 0.3883 0.3883 0.8352  6 Co 2.42-2.45
12 Co 0.1088 0.6089 0.6734  7 Co 2.42-2.54
13 Co 0.7213 0.7213 0.8360  6 Co 2.43-2.44
14 Co 0.5000 0.5000 0.5000  6 Co 2.54
15 Tb 0.8519 0.8519 0.4442  12 Co 2.86-3.11, 3 Tb 3.17
16 Tb 0.1481 0.1481 0.5558  12 Co 2.86-3.11, 3 Tb 3.17
17 Tb 0.0513 0.0513 0.8460  12 Co 2.87-3.10
18 Tb 0.9487 0.9487 0.1540  12 Co 2.87-3.10

Results
For the energy relative to the elements, the calculation gives -0.14 eV/atom. The density of states at the Fermi level comes out at 13.6 states/eV/f.u. The calculation puts the volume at 14.3 Å³ per atom.

***

Material: Er2TmNi
Method: DFT, PBE-GGA
State: relaxed

Cell lengths 3.5971, 3.5971, 9.5711 Å; angles 79.17, 79.17, 60.00 degrees
With the nearest neighbours (Å) after each atom.
Positions (direct):
1 Ni 0.0000 0.0000 0.0000  6 Er 2.70
2 Tm 0.5000 0.5000 0.5000  6 Tm 3.60, 6 Er 3.60
3 Er 0.7284 0.7284 0.8148  3 Ni 2.70
4 Er 0.2716 0.2716 0.1852  3 Ni 2.70

Results
For the energy relative to the elements, the calculation gives -0.08 eV/atom. The density of states at the Fermi level comes out at 4.5 states/eV/f.u. The calculation puts the volume at 26.2 Å³ per atom.

***

Material: Ti6Pd2Ru
Method: DFT, PBE-GGA
State: relaxed

Cell lengths 4.3108, 6.0817, 7.4176 Å; angles 114.20, 106.80, 90.00 degrees
With the nearest neighbours (Å) after each atom.
Positions (direct):
1 Ti 0.8378 0.0836 0.6754  1 Ru 2.56, 3 Pd 2.65
2 Ti 0.5000 0.7587 0.0000  2 Ru 2.61, 2 Pd 2.67
3 Ti 0.1622 0.4081 0.3246  1 Ru 2.56, 3 Pd 2.65
4 Ti 0.5000 0.2413 0.0000  2 Ru 2.61, 2 Pd 2.67
5 Ti 0.1622 0.9164 0.3246  1 Ru 2.56, 3 Pd 2.65
6 Ti 0.8378 0.5919 0.6754  1 Ru 2.56, 3 Pd 2.65
7 Ru 0.0000 0.0000 0.0000  8 Ti 2.56-2.61
8 Pd 0.6675 0.6676 0.3352  8 Ti 2.65-2.67
9 Pd 0.3325 0.3324 0.6648  8 Ti 2.65-2.67

Results
For the energy relative to the elements, the calculation gives -0.05 eV/atom. The density of states at the Fermi level comes out at 12.2 states/eV/f.u. The calculation puts the volume at 18.7 Å³ per atom.

***

Material: AlZnAs4
Method: DFT, PBE-GGA
State: relaxed

Cell lengths 5.5899, 5.5899, 5.5899 Å; angles 60.00, 60.00, 60.00 degrees
With the nearest neighbours (Å) after each atom.
Positions (direct):
1 As 0.8767 0.3744 0.3744  6 As 2.78-2.81
2 As 0.3744 0.8767 0.3744  6 As 2.78-2.81
3 As 0.3744 0.3744 0.8767  6 As 2.78-2.81
4 As 0.3744 0.3744 0.3744  6 As 2.78-2.81
5 Zn 0.7500 0.7500 0.7500  12 As 3.28, 4 Al 3.42
6 Al 0.0000 0.0000 0.0000  12 As 3.28, 4 Zn 3.42

Results
For the energy relative to the elements, the calculation gives 0.40 eV/atom. The density of states at the Fermi level comes out at 0.9 states/eV/f.u. The calculation puts the volume at 20.6 Å³ per atom.